First-principles (GGA+U) data for crystalline BaVO2 at its relaxed geometry, as listed in Alexandria.

Lattice parameters (Å, degrees): 3.3367 3.3367 21.0524 90.00 90.00 120.00
Space group R-3m (No. 166, hexagonal axes)
Unique sites:
Ba 0.0000 0.0000 0.0000 x3
V 0.0000 0.0000 0.5000 x3
O 0.0000 0.0000 0.1204 x6

Summary:
**DFT total energy**: -0.23120 Ha/atom
**Distance to the lowest polymorph of the same formula**: 405 meV per atom
**N(E_F)**: 1.32 states/eV/f.u.